Density functional theory data (PBE) for an optimized crystal structure of Cs5YS4.

CIF file:
```
data_Cs5YS4
_chemical_formula_sum 'Cs10 Y2 S8'
_cell_length_a 20.724
_cell_length_b 4.517
_cell_length_c 9.114
_cell_angle_alpha 90.00
_cell_angle_beta 106.24
_cell_angle_gamma 90.00
_symmetry_space_group_name_H-M 'C 1 2/m 1'
_symmetry_Int_Tables_number 12
_symmetry_space_group_name_Hall '-C 2y'
loop_
_atom_site_label
_atom_site_fract_x
_atom_site_fract_y
_atom_site_fract_z
Cs1 0.000 0.000 0.000
Cs2 0.159 0.500 0.850
Cs3 0.167 0.500 0.360
Y1 0.000 0.000 0.500
S1 0.001 0.500 0.295
S2 0.141 0.000 0.595
```

Results
formation energy from raw total energies = -1.194 eV/atom

Density functional theory data (PBE) for an optimized crystal structure of K2CuRu.

CIF file:
```
data_K2CuRu
_chemical_formula_sum 'K4 Cu2 Ru2'
_cell_length_a 12.662
_cell_length_b 2.747
_cell_length_c 6.188
_cell_angle_alpha 90.00
_cell_angle_beta 107.52
_cell_angle_gamma 90.00
_symmetry_space_group_name_H-M 'C 1 m 1'
_symmetry_Int_Tables_number 8
_symmetry_space_group_name_Hall 'C -2y'
loop_
_atom_site_label
_atom_site_fract_x
_atom_site_fract_y
_atom_site_fract_z
K1 0.000 0.000 0.000
K2 0.199 0.000 0.609
Cu1 0.422 0.000 0.441
Ru1 0.275 0.500 0.166
```

Results
E_form = 0.840 eV/atom
E above lowest polymorph = 143 meV/atom

Density functional theory data (PBE) for an optimized crystal structure of Pa2Si3Ge.

CIF file:
```
data_Pa2Si3Ge
_chemical_formula_sum 'Pa2 Si3 Ge1'
_cell_length_a 3.916
_cell_length_b 4.022
_cell_length_c 7.305
_cell_angle_alpha 90.00
_cell_angle_beta 90.00
_cell_angle_gamma 90.00
_symmetry_space_group_name_H-M 'P m m 2'
_symmetry_Int_Tables_number 25
_symmetry_space_group_name_Hall 'P 2 -2'
loop_
_atom_site_label
_atom_site_fract_x
_atom_site_fract_y
_atom_site_fract_z
Pa1 0.000 0.000 0.000
Pa2 0.000 0.500 0.486
Si1 0.500 0.000 0.324
Si2 0.500 0.000 0.646
Si3 0.500 0.500 0.164
Ge1 0.500 0.500 0.828
```

Results
formation energy from raw total energies = -0.450 eV/atom

Density functional theory data (PBE) for an optimized crystal structure of AcAlPO2.

CIF file:
```
data_AcAlPO2
_chemical_formula_sum 'Ac4 Al4 P4 O8'
_cell_length_a 5.761
_cell_length_b 12.449
_cell_length_c 5.308
_cell_angle_alpha 90.00
_cell_angle_beta 90.00
_cell_angle_gamma 90.00
_symmetry_space_group_name_H-M 'C m c m'
_symmetry_Int_Tables_number 63
_symmetry_space_group_name_Hall '-C 2c 2'
loop_
_atom_site_label
_atom_site_fract_x
_atom_site_fract_y
_atom_site_fract_z
Ac1 0.000 0.125 0.250
Al1 0.000 0.480 0.750
P1 0.000 0.272 0.750
O1 0.220 0.500 0.000
```

Results
formation energy from raw total energies = -2.160 eV/atom

Number 1: final energy -3.918 eV/atom. Number 2: final energy -3.052 eV/atom. Number 3: final energy -7.096 eV/atom. Number 4: final energy -6.795 eV/atom.